Entry from the Alexandria database: a relaxed structure of V2CoS5 (PBE).

Unit cell a=8.5922 b=6.4352 c=6.4225 alpha=83.86 beta=48.13 gamma=48.00
Positions (direct):
1 V 0.1891 0.8109 0.1891
2 V 0.8109 0.1891 0.8109
3 Co 0.5000 0.5000 0.5000
4 S 0.0000 0.0000 0.0000
5 S 0.2269 0.5370 0.4630
6 S 0.4630 0.7731 0.2269
7 S 0.5370 0.2269 0.7731
8 S 0.7731 0.4630 0.5370

## Properties
Total energy ... -49.781 eV/cell
Formation energy without anion corrections ... -0.475 eV/atom

Entry from the Alexandria database: a relaxed structure of UCoIrPt (PBE).

Unit cell a=3.8750 b=4.0561 c=4.0823 alpha=90.00 beta=90.00 gamma=90.00
Positions (direct):
1 U 0.0000 0.0000 0.0000
2 Co 0.5000 0.5000 0.0000
3 Ir 0.5000 0.0000 0.5000
4 Pt 0.0000 0.5000 0.5000

## Properties
Formation energy ... -527 meV per atom
Total energy ... -35.404 eV/cell

Entry from the Alexandria database: a relaxed structure of Ac2NdHoTe5 (PBE).

Unit cell a=5.4878 b=5.4878 c=11.8271 alpha=90.00 beta=90.00 gamma=90.00
Positions (direct):
1 Ac 0.0000 0.0000 0.1995
2 Ac 0.0000 0.0000 0.8005
3 Nd 0.5000 0.5000 0.5000
4 Ho 0.5000 0.5000 0.0000
5 Te 0.0000 0.0000 0.5000
6 Te 0.0000 0.5000 0.0000
7 Te 0.5000 0.0000 0.0000
8 Te 0.5000 0.5000 0.2508
9 Te 0.5000 0.5000 0.7492

## Properties
Total energy ... -42.551 eV/cell
Formation energy without anion corrections ... -1.031 eV/atom

Entry from the Alexandria database: a relaxed structure of Na5Sb2 (PBE).

Unit cell a=9.2548 b=9.2548 c=9.2548 alpha=128.19 beta=68.96 gamma=137.79
Positions (direct):
1 Na 0.0128 0.2500 0.7628
2 Na 0.0803 0.6476 0.7278
3 Na 0.2500 0.2500 0.0000
4 Na 0.4197 0.1476 0.5673
5 Na 0.4872 0.2500 0.2372
6 Na 0.5128 0.7500 0.7628
7 Na 0.5803 0.8524 0.4327
8 Na 0.7500 0.7500 0.0000
9 Na 0.9197 0.3524 0.2722
10 Na 0.9872 0.7500 0.2372
11 Sb 0.1246 0.2593 0.3839
12 Sb 0.3754 0.7593 0.1347
13 Sb 0.6246 0.2407 0.8653
14 Sb 0.8754 0.7407 0.6161

## Properties
Total energy ... -34.746 eV/cell
Formation energy without anion corrections ... -0.362 eV/atom